[1]
Below is Sb5Pb after structural relaxation, with properties calculated at the GGA-PBE level.

a b c (Å): 6.3124 6.3124 6.3124
angles (deg): 60.00 60.00 60.00
Last column: nearest neighbours and their distance in Å.
Positions (direct):
Sb 0.6248 0.6248 0.6248  6 Sb 3.15-3.16
Sb 0.6248 0.1255 0.6248  6 Sb 3.15-3.16
Sb 0.6248 0.6248 0.1255  6 Sb 3.15-3.16
Sb 0.2500 0.2500 0.2500  12 Sb 3.70, 4 Pb 3.87
Sb 0.1255 0.6248 0.6248  6 Sb 3.15-3.16
Pb 0.0000 0.0000 0.0000  16 Sb 3.70-3.87

Values from the calculation:
- mass density (g/cm3) = 7.62
- E (eV per atom) = -3.724

***

[2]
Below is K2ScCo after structural relaxation, with properties calculated at the GGA-PBE level.

a b c (Å): 12.4415 12.4415 9.0837
angles (deg): 46.78 46.78 90.00
Last column: nearest neighbours and their distance in Å.
Positions (direct):
K 0.9675 0.6250 0.2500  2 Co 3.36, 2 Sc 3.73
K 0.7825 0.1250 0.2500  2 Co 3.36, 2 Sc 3.73
K 0.8750 0.0325 0.7500  2 Co 3.36, 2 Sc 3.73
K 0.3750 0.2175 0.7500  2 Co 3.36, 2 Sc 3.73
Co 0.0000 0.0000 0.0000  2 Sc 2.26
Co 0.7500 0.2500 0.5000  2 Sc 2.26
Sc 0.2500 0.7500 0.5000  2 Co 2.26
Sc 0.5000 0.5000 0.0000  2 Co 2.26

Values from the calculation:
- mass density (g/cm3) = 1.73
- E_form (eV per atom) = 0.76

***

[3]
Below is Ba2SrNiPb after structural relaxation, with properties calculated at the GGA-PBE level.

a b c (Å): 5.8699 5.8699 5.7712
angles (deg): 90.00 90.00 90.00
Last column: nearest neighbours and their distance in Å.
Positions (direct):
Ba 0.5000 0.0000 0.0000  2 Ni 2.93
Ba 0.0000 0.5000 0.0000  2 Ni 2.93
Sr 0.0000 0.0000 0.5000  2 Ni 2.89
Pb 0.5000 0.5000 0.5000  8 Ba 4.12, 4 Sr 4.15
Ni 0.0000 0.0000 0.0000  2 Sr 2.89, 4 Ba 2.93

Values from the calculation:
- mass density (g/cm3) = 5.25
- E_form (eV per atom) = -0.15

***

[4]
Below is Pm2Dy5In5 after structural relaxation, with properties calculated at the GGA-PBE level.

a b c (Å): 5.1131 6.4992 11.9789
angles (deg): 107.44 90.00 113.16
Last column: nearest neighbours and their distance in Å.
Positions (direct):
Dy 0.6519 0.3038 0.0040  3 In 3.13-3.21, 3 Dy 3.38-3.49
Dy 0.3682 0.7363 0.7214  5 In 3.15-3.34, 2 Dy 3.38-3.50, 2 Pm 3.46
Dy 0.3481 0.6962 0.9960  3 In 3.13-3.21, 3 Dy 3.38-3.49
Dy 0.5000 0.0000 0.5000  6 In 3.37-3.67, 2 Dy 3.50
Dy 0.6318 0.2637 0.2786  5 In 3.15-3.34, 2 Dy 3.38-3.50, 2 Pm 3.46
Pm 0.9276 0.8552 0.2427  4 In 3.24-3.29, 3 Dy 3.46-3.59
Pm 0.0724 0.1448 0.7573  4 In 3.24-3.29, 3 Dy 3.46-3.59
In 0.2550 0.5101 0.2186  3 Dy 3.15-3.21, 2 Pm 3.24, 2 In 3.31-3.44
In 0.0000 0.0000 0.0000  4 Dy 3.13, 2 Pm 3.29, 2 In 3.31
In 0.8303 0.6607 0.5334  3 In 3.14-3.44, 5 Dy 3.20-3.37, 1 Pm 3.24
In 0.1697 0.3393 0.4666  3 In 3.14-3.44, 5 Dy 3.20-3.37, 1 Pm 3.24
In 0.7450 0.4899 0.7814  3 Dy 3.15-3.21, 2 Pm 3.24, 2 In 3.31-3.44

Values from the calculation:
- mass density (g/cm3) = 8.05
- E_form (eV per atom) = -0.31

***

[5]
Below is CaThSi2Pt4 after structural relaxation, with properties calculated at the GGA-PBE level.

a b c (Å): 4.3312 4.3312 8.6483
angles (deg): 90.00 90.00 90.00
Last column: nearest neighbours and their distance in Å.
Positions (direct):
Pt 0.0000 0.5000 0.2359  2 Si 2.42
Pt 0.0000 0.5000 0.7641  2 Si 2.42
Pt 0.5000 0.0000 0.2359  2 Si 2.42
Pt 0.5000 0.0000 0.7641  2 Si 2.42
Ca 0.0000 0.0000 0.5000  8 Pt 3.15, 8 Si 3.29
Si 0.5000 0.5000 0.3612  1 Si 2.40, 4 Pt 2.42
Si 0.5000 0.5000 0.6388  1 Si 2.40, 4 Pt 2.42
Th 0.0000 0.0000 0.0000  8 Pt 2.98

Values from the calculation:
- mass density (g/cm3) = 11.35
- E (eV per atom) = -6.482

***

[6]
Below is Li5CdAg after structural relaxation, with properties calculated at the GGA-PBE level.

a b c (Å): 5.0202 5.0202 10.5019
angles (deg): 78.82 78.82 95.70
Last column: nearest neighbours and their distance in Å.
Positions (direct):
Cd 0.4152 0.5848 0.7500  9 Li 2.85-3.09
Cd 0.5848 0.4152 0.2500  9 Li 2.85-3.09
Li 0.9674 0.0326 0.2500  2 Ag 2.64, 6 Li 2.74-2.91, 1 Cd 2.85
Li 0.4932 0.7817 0.4461  4 Li 2.66-2.86, 2 Ag 2.81-2.87
Li 0.0500 0.5158 0.3604  1 Ag 2.68, 4 Li 2.74-2.91, 2 Cd 2.85
Li 0.9500 0.4842 0.6396  1 Ag 2.68, 4 Li 2.74-2.91, 2 Cd 2.85
Li 0.4842 0.9500 0.1396  1 Ag 2.68, 4 Li 2.74-2.91, 2 Cd 2.85
Li 0.5068 0.2183 0.5539  4 Li 2.66-2.86, 2 Ag 2.81-2.87
Li 0.2183 0.5068 0.0539  4 Li 2.66-2.86, 2 Ag 2.81-2.87
Li 0.5158 0.0500 0.8604  1 Ag 2.68, 4 Li 2.74-2.91, 2 Cd 2.85
Li 0.7817 0.4932 0.9461  4 Li 2.66-2.86, 2 Ag 2.81-2.87
Li 0.0326 0.9674 0.7500  2 Ag 2.64, 6 Li 2.74-2.91, 1 Cd 2.85
Ag 0.0000 0.0000 0.5000  8 Li 2.64-2.87
Ag 0.0000 0.0000 0.0000  8 Li 2.64-2.87

Values from the calculation:
- mass density (g/cm3) = 3.36
- E_form (eV per atom) = -0.12

***

[7]
Below is SrTa3Ge after structural relaxation, with properties calculated at the GGA-PBE level.

a b c (Å): 4.8990 4.8990 4.8990
angles (deg): 90.00 90.00 90.00
Last column: nearest neighbours and their distance in Å.
Positions (direct):
Ta 0.0000 0.0000 0.5000  2 Sr 2.45
Ta 0.0000 0.5000 0.0000  2 Sr 2.45
Ta 0.5000 0.0000 0.0000  2 Sr 2.45
Ge 0.5000 0.5000 0.5000  12 Ta 3.46
Sr 0.0000 0.0000 0.0000  6 Ta 2.45

Values from the calculation:
- mass density (g/cm3) = 9.93
- E_form (eV per atom) = 2.94

***

[8]
Below is Mn2HgS after structural relaxation, with properties calculated at the GGA-PBE level.

a b c (Å): 4.2867 4.2867 4.2867
angles (deg): 60.00 60.00 60.00
Last column: nearest neighbours and their distance in Å.
Positions (direct):
Hg 0.5000 0.5000 0.5000  8 Mn 2.63
S 0.0000 0.0000 0.0000  8 Mn 2.63
Mn 0.7500 0.7500 0.7500  4 Hg 2.63, 4 S 2.63
Mn 0.2500 0.2500 0.2500  4 Hg 2.63, 4 S 2.63

Values from the calculation:
- mass density (g/cm3) = 10.21
- E (eV per atom) = -4.855

***

[9]
Below is K2In2HgCl6 after structural relaxation, with properties calculated at the GGA-PBE level.

a b c (Å): 7.7129 9.2618 7.5604
angles (deg): 103.27 81.35 75.42
Last column: nearest neighbours and their distance in Å.
Positions (direct):
Cl 0.8709 0.7168 0.1282  1 In 2.46
Cl 0.9816 0.2882 0.3674  1 In 2.46
Cl 0.0184 0.7118 0.6326  1 In 2.46
Cl 0.6399 0.3015 0.0383  1 In 2.46
Cl 0.3601 0.6985 0.9617  1 In 2.46
Cl 0.1291 0.2832 0.8718  1 In 2.46
K 0.7796 0.5027 0.7797  6 Cl 3.20-3.25
K 0.2204 0.4973 0.2203  6 Cl 3.20-3.25
Hg 0.5000 0.0000 0.5000  2 Cl 3.66
In 0.9509 0.1609 0.0552  3 Cl 2.46
In 0.0491 0.8391 0.9448  3 Cl 2.46

Values from the calculation:
- mass density (g/cm3) = 2.41
- E (eV per atom) = -3.006

***

[10]
Below is Mg8CdPb6 after structural relaxation, with properties calculated at the GGA-PBE level.

a b c (Å): 8.6841 8.6841 8.1693
angles (deg): 57.89 57.89 60.00
Last column: nearest neighbours and their distance in Å.
Positions (direct):
Pb 0.4095 0.0711 0.7975  6 Mg 3.00-3.14, 1 Cd 3.26
Pb 0.2781 0.5905 0.2025  6 Mg 3.00-3.14, 1 Cd 3.26
Pb 0.7219 0.4095 0.7975  6 Mg 3.00-3.14, 1 Cd 3.26
Pb 0.9289 0.2781 0.2025  6 Mg 3.00-3.14, 1 Cd 3.26
Pb 0.5905 0.9289 0.2025  6 Mg 3.00-3.14, 1 Cd 3.26
Pb 0.0711 0.7219 0.7975  6 Mg 3.00-3.14, 1 Cd 3.26
Mg 0.2072 0.8927 0.3311  4 Pb 3.00-3.04
Mg 0.8927 0.5691 0.3311  4 Pb 3.00-3.04
Mg 0.1073 0.4309 0.6689  4 Pb 3.00-3.04
Mg 0.3317 0.3317 0.0048  6 Pb 3.13-3.14
Mg 0.4309 0.7928 0.6689  4 Pb 3.00-3.04
Mg 0.6683 0.6683 0.9952  6 Pb 3.13-3.14
Mg 0.7928 0.1073 0.6689  4 Pb 3.00-3.04
Mg 0.5691 0.2072 0.3311  4 Pb 3.00-3.04
Cd 0.0000 0.0000 0.0000  6 Pb 3.26, 6 Mg 3.50

Values from the calculation:
- mass density (g/cm3) = 6.11
- E_form (eV per atom) = 0.06

***

[11]
Below is LaPrPt2 after structural relaxation, with properties calculated at the GGA-PBE level.

a b c (Å): 3.6124 5.1832 5.1832
angles (deg): 90.00 90.00 90.00
Last column: nearest neighbours and their distance in Å.
Positions (direct):
Pt 0.0000 0.0000 0.5000  4 La 3.16, 4 Pr 3.16
Pt 0.0000 0.5000 0.0000  4 La 3.16, 4 Pr 3.16
La 0.5000 0.5000 0.5000  8 Pt 3.16
Pr 0.5000 0.0000 0.0000  8 Pt 3.16

Values from the calculation:
- mass density (g/cm3) = 11.46
- E_form (eV per atom) = -1.04

***

[12]
Below is Be2CrSi2 after structural relaxation, with properties calculated at the GGA-PBE level.

a b c (Å): 4.1509 4.3291 7.8886
angles (deg): 82.72 74.75 61.37
Last column: nearest neighbours and their distance in Å.
Positions (direct):
Si 0.2037 0.0926 0.2499  4 Be 2.25-2.30, 2 Si 2.39-2.40, 3 Cr 2.45-2.50
Si 0.7963 0.9074 0.7501  4 Be 2.25-2.30, 2 Si 2.39-2.40, 3 Cr 2.45-2.50
Si 0.4541 0.5925 0.7500  4 Be 2.25-2.30, 2 Si 2.39-2.40, 3 Cr 2.45-2.50
Si 0.5459 0.4075 0.2500  4 Be 2.25-2.30, 2 Si 2.39-2.40, 3 Cr 2.45-2.50
Be 0.4956 0.7502 0.0081  2 Be 2.17, 4 Si 2.25-2.30
Be 0.2539 0.7499 0.4921  2 Be 2.17, 4 Si 2.26-2.30
Be 0.5044 0.2498 0.9920  2 Be 2.17, 4 Si 2.25-2.30
Be 0.7461 0.2501 0.5079  2 Be 2.17, 4 Si 2.26-2.30
Cr 0.1255 0.2500 0.7494  6 Si 2.45-2.50
Cr 0.8745 0.7500 0.2506  6 Si 2.45-2.50

Values from the calculation:
- mass density (g/cm3) = 3.49
- E (eV per atom) = -5.299